Here is Pm2Sm2DyHo after structural relaxation from Alexandria. Energies are from PBE-GGA.

a b c (Å): 7.0549 5.6834 9.8445
angles (deg): 90.00 90.00 90.00
Fractional coordinates of all 12 atoms:
Pm (0.2500, 0.0000, 0.1609)
Pm (0.2500, 0.5000, 0.6711)
Pm (0.7500, 0.0000, 0.8391)
Pm (0.7500, 0.5000, 0.3289)
Sm (0.0000, 0.5000, 0.0000)
Sm (0.2500, 0.0000, 0.8233)
Sm (0.5000, 0.5000, 0.0000)
Sm (0.7500, 0.0000, 0.1767)
Dy (0.2500, 0.5000, 0.3410)
Dy (0.7500, 0.5000, 0.6590)
Ho (0.0000, 0.0000, 0.5000)
Ho (0.5000, 0.0000, 0.5000)

Summary:
Energy of formation from the pure elements   0.4 eV per formula unit
Volume   32.89 Å³ per atom
Final energy   -4.6268 eV/atom